Entry 1:
## ScGaPS2 (PBE)

Data for crystalline ScGaPS2 at its relaxed geometry.

a b c (Å): 4.937 4.937 5.080
angles (deg): 90.00 90.00 90.00
Space group P4/mmm (No. 123)
Unique sites:
Sc  0.000  0.000  0.000
Ga  0.500  0.500  0.500
P  0.000  0.000  0.500
S  0.000  0.500  0.000

Properties
Energy above the lowest structure with this stoichiometry: 0.0 meV per atom
Raw formation energy: -0.1723 eV per atom
Density of states at the Fermi level: 3.68 states/eV per cell
Energy: -23.9 eV/cell

***

Entry 2:
## KZnN3 (PBE)

Data for crystalline KZnN3 at its relaxed geometry.

a b c (Å): 4.123 4.123 4.123
angles (deg): 90.00 90.00 90.00
Space group Pm-3m (No. 221)
Unique sites:
K  0.000  0.000  0.000
Zn  0.500  0.500  0.500
N  0.000  0.500  0.500

Properties
Raw formation energy: 1.6968 eV per atom
Density of states at the Fermi level: 2.84 states/eV per cell
Energy: -18.9 eV/cell

***

Entry 3:
## GePtBrN2 (PBE)

Data for crystalline GePtBrN2 at its relaxed geometry.

a b c (Å): 3.820 3.820 7.713
angles (deg): 90.00 90.00 90.00
Space group P4/mmm (No. 123)
Unique sites:
Ge  0.000  0.000  0.000
Pt  0.500  0.500  0.500
Br  0.500  0.500  0.000
N  0.000  0.500  0.500

Properties
Raw formation energy: 1.1433 eV per atom
Density of states at the Fermi level: 2.44 states/eV per cell
Energy: -23.3 eV/cell